No. 1
# GGA-PBE BeAlH2, optimized geometry
data_BeAlH2
_cell_length_a 3.993
_cell_length_b 4.045
_cell_length_c 4.725
_cell_angle_alpha 87.73
_cell_angle_beta 70.64
_cell_angle_gamma 79.14
_symmetry_space_group_name_H-M 'P 1'
_symmetry_Int_Tables_number 1
loop_
_symmetry_equiv_pos_as_xyz
'x,y,z'
loop_
_atom_site_label
_atom_site_type_symbol
_atom_site_fract_x
_atom_site_fract_y
_atom_site_fract_z
H1 H 0.422 0.192 0.777
H2 H 0.976 0.232 0.660
H3 H 0.436 0.255 0.266
H4 H 0.928 0.392 0.155
Al1 Al 0.266 0.619 0.839
Al2 Al 0.559 0.812 0.242
Be1 Be 0.062 0.450 0.397
Be2 Be 0.775 0.958 0.673
# uncorrected energy	-3.327	eV per atom
# polymorph energy (0 for the lowest one)	88	meV/atom
# volume	8.84	Å³ per atom
# crystal system	triclinic



No. 2
# GGA-PBE RbNa2Tl8, optimized geometry
data_RbNa2Tl8
_cell_length_a 6.019
_cell_length_b 9.031
_cell_length_c 9.828
_cell_angle_alpha 62.65
_cell_angle_beta 72.70
_cell_angle_gamma 49.67
_symmetry_space_group_name_H-M 'P 1'
_symmetry_Int_Tables_number 1
loop_
_symmetry_equiv_pos_as_xyz
'x,y,z'
loop_
_atom_site_label
_atom_site_type_symbol
_atom_site_fract_x
_atom_site_fract_y
_atom_site_fract_z
Na1 Na 0.000 0.679 0.641
Na2 Na 0.000 0.321 0.359
Rb1 Rb 0.500 0.000 0.000
Tl1 Tl 0.759 0.094 0.281
Tl2 Tl 0.500 0.206 0.587
Tl3 Tl 0.500 0.794 0.413
Tl4 Tl 0.759 0.375 0.719
Tl5 Tl 0.753 0.496 0.000
Tl6 Tl 0.241 0.625 0.281
Tl7 Tl 0.247 0.504 0.000
Tl8 Tl 0.241 0.906 0.719
# uncorrected energy	-2.091	eV per atom
# polymorph energy (0 for the lowest one)	17	meV/atom
# volume	32.88	Å³ per atom
# calculated formation energy	-0.04	eV/atom
# crystal system	monoclinic